Record 1
# MoH2Pd

A geometry-optimized MoH2Pd structure (GGA-PBE, Alexandria via LeMat-Bulk).

Cell: 3.7804 3.7804 3.7804 Å, 60.00 60.00 60.00°
With the nearest neighbours (Å) after each atom.
Element x y z (fractional)
H: 0.2500 0.2500 0.2500  4 Mo 2.31, 4 Pd 2.31
H: 0.7500 0.7500 0.7500  4 Mo 2.31, 4 Pd 2.31
Pd: 0.5000 0.5000 0.5000  8 H 2.31
Mo: 0.0000 0.0000 0.0000  8 H 2.31

Properties
D(E_F)   1.195 states/eV/atom
Energy   -20.22 eV per cell
Energy relative to the lowest polymorph listed for this composition   0.595 eV/atom

---

Record 2
# Mo2HPdPt

A geometry-optimized Mo2HPdPt structure (GGA-PBE, Alexandria via LeMat-Bulk).

Cell: 3.9255 3.9255 4.1633 Å, 90.00 90.00 90.00°
With the nearest neighbours (Å) after each atom.
Element x y z (fractional)
Pt: 0.0000 0.0000 0.5000  2 H 2.08
H: 0.0000 0.0000 0.0000  4 Mo 1.96, 2 Pt 2.08
Mo: 0.5000 0.0000 0.0000  2 H 1.96
Mo: 0.0000 0.5000 0.0000  2 H 1.96
Pd: 0.5000 0.5000 0.5000  4 Pt 2.78, 8 Mo 2.86

Properties
D(E_F)   1.006 states/eV/atom
Energy   -36.27 eV per cell
Energy relative to the lowest polymorph listed for this composition   0.038 eV/atom

---

Record 3
# Mo2HPdPt

A geometry-optimized Mo2HPdPt structure (GGA-PBE, Alexandria via LeMat-Bulk).

Cell: 3.9263 3.9263 4.1530 Å, 90.00 90.00 90.00°
With the nearest neighbours (Å) after each atom.
Element x y z (fractional)
Pd: 0.0000 0.0000 0.5000  2 H 2.08
Mo: 0.5000 0.0000 0.0000  2 H 1.96
Mo: 0.0000 0.5000 0.0000  2 H 1.96
Pt: 0.5000 0.5000 0.5000  4 Pd 2.78, 8 Mo 2.86
H: 0.0000 0.0000 0.0000  4 Mo 1.96, 2 Pd 2.08

Properties
D(E_F)   1.086 states/eV/atom
Energy   -36.46 eV per cell
Energy relative to the lowest polymorph listed for this composition   0.000 eV/atom

---

Record 4
# RbMoHPd2

A geometry-optimized RbMoHPd2 structure (GGA-PBE, Alexandria via LeMat-Bulk).

Cell: 4.2747 4.7284 4.2747 Å, 90.00 90.00 90.00°
With the nearest neighbours (Å) after each atom.
Element x y z (fractional)
Pd: 0.5000 0.0000 0.0000  2 H 2.14
Pd: 0.0000 0.0000 0.5000  2 H 2.14
Rb: 0.0000 0.5000 0.0000  2 H 2.36
Mo: 0.5000 0.5000 0.5000  4 Rb 3.02, 8 Pd 3.19
H: 0.0000 0.0000 0.0000  4 Pd 2.14, 2 Rb 2.36

Properties
D(E_F)   0.508 states/eV/atom
Energy   -20.67 eV per cell

---

Record 5
# Mo2HPdRh

A geometry-optimized Mo2HPdRh structure (GGA-PBE, Alexandria via LeMat-Bulk).

Cell: 3.9421 3.9421 4.0355 Å, 90.00 90.00 90.00°
With the nearest neighbours (Å) after each atom.
Element x y z (fractional)
Rh: 0.0000 0.0000 0.5000  2 H 2.02
Mo: 0.5000 0.0000 0.0000  2 H 1.97
Mo: 0.0000 0.5000 0.0000  2 H 1.97
Pd: 0.5000 0.5000 0.5000  4 Rh 2.79, 8 Mo 2.82
H: 0.0000 0.0000 0.0000  4 Mo 1.97, 2 Rh 2.02

Properties
D(E_F)   0.991 states/eV/atom
Energy   -37.57 eV per cell
Energy relative to the lowest polymorph listed for this composition   0.000 eV/atom

---

Record 6
# Mo2HPdRh

A geometry-optimized Mo2HPdRh structure (GGA-PBE, Alexandria via LeMat-Bulk).

Cell: 3.9290 3.9290 4.0670 Å, 90.00 90.00 90.00°
With the nearest neighbours (Å) after each atom.
Element x y z (fractional)
Rh: 0.5000 0.5000 0.5000  4 Pd 2.78, 8 Mo 2.83
Pd: 0.0000 0.0000 0.5000  2 H 2.03
Mo: 0.5000 0.0000 0.0000  2 H 1.96
Mo: 0.0000 0.5000 0.0000  2 H 1.96
H: 0.0000 0.0000 0.0000  4 Mo 1.96, 2 Pd 2.03

Properties
D(E_F)   0.961 states/eV/atom
Energy   -37.48 eV per cell
Energy relative to the lowest polymorph listed for this composition   0.018 eV/atom